Here is CdBMo3 after structural relaxation from Alexandria via LeMat-Bulk. Energies are from GGA-PBE.

The structure in CIF format:
```
data_CdBMo3
_cell_length_a 4.835
_cell_length_b 4.835
_cell_length_c 4.835
_cell_angle_alpha 90.00
_cell_angle_beta 90.00
_cell_angle_gamma 90.00
_symmetry_space_group_name_H-M 'P m -3 m'
_symmetry_Int_Tables_number 221
_symmetry_space_group_name_Hall '-P 4 2 3'
loop_
_atom_site_label
_atom_site_type_symbol
_atom_site_fract_x
_atom_site_fract_y
_atom_site_fract_z
Cd1 Cd 0.000 0.000 0.000
B1 B 0.500 0.500 0.500
Mo1 Mo 0.000 0.000 0.500
```

Calculated values
- energy above the most stable polymorph in this dataset (eV/atom) = 3.0951
- calculated density (g/cm³) = 6.038
- formation energy from the elements (eV/atom) = 3.43
- magnetic moment (μB/f.u.) = 2.0
- DOS(E_F) (states/eV/f.u.) = 7.766
- total DFT energy (no corrections) (eV/cell) = -22.931